# 1
The following is a GGA-PBE calculation of a geometry-optimized InBPdRu2 structure, from Alexandria.

Values from the calculation:
As for the symmetry: P4/mmm. The volume is 94.8 Å³/cell. The calculated total energy is -5.21 eV per atom. Its energy of formation is 1.422 eV/atom. The magnetization comes out at 3.5 Bohr magnetons per cell.

a = 4.945 Å, b = 4.945 Å, c = 3.878 Å
α = 90.00°, β = 90.00°, γ = 90.00°
Element x y z (fractional)
In 0.000 0.000 0.000
B 0.500 0.500 0.000
Pd 0.500 0.500 0.500
Ru 0.000 0.500 0.500
Ru 0.500 0.000 0.500



# 2
The following is a GGA-PBE calculation of a geometry-optimized Pm3InB structure, from Alexandria.

Values from the calculation:
As for the symmetry: Pm-3m. The volume is 139.1 Å³/cell. The calculated total energy is -4.93 eV per atom. Its energy of formation is -0.195 eV/atom. The magnetization comes out at 0.0 Bohr magnetons per cell.

a = 5.182 Å, b = 5.182 Å, c = 5.182 Å
α = 90.00°, β = 90.00°, γ = 90.00°
Element x y z (fractional)
Pm 0.000 0.000 0.500
Pm 0.000 0.500 0.000
Pm 0.500 0.000 0.000
In 0.500 0.500 0.500
B 0.000 0.000 0.000



# 3
The following is a GGA-PBE calculation of a geometry-optimized PmInB12 structure, from Alexandria.

Values from the calculation:
As for the symmetry: Fm-3m. The volume is 146.9 Å³/cell. The calculated total energy is -6.40 eV per atom. Its energy of formation is -0.143 eV/atom. The magnetization comes out at 0.0 Bohr magnetons per cell.

a = 5.923 Å, b = 5.923 Å, c = 5.923 Å
α = 60.00°, β = 60.00°, γ = 60.00°
Element x y z (fractional)
Pm 0.000 0.000 0.000
In 0.500 0.500 0.500
B 0.101 0.101 0.399
B 0.101 0.399 0.101
B 0.101 0.399 0.399
B 0.399 0.101 0.101
B 0.399 0.101 0.399
B 0.399 0.399 0.101
B 0.601 0.601 0.899
B 0.601 0.899 0.601
B 0.601 0.899 0.899
B 0.899 0.601 0.601
B 0.899 0.601 0.899
B 0.899 0.899 0.601



# 4
The following is a GGA-PBE calculation of a geometry-optimized Pm4In2B structure, from Alexandria.

Values from the calculation:
As for the symmetry: I4/mmm. The volume is 209.6 Å³/cell. The calculated total energy is -4.64 eV per atom. Its energy of formation is -0.188 eV/atom. The magnetization comes out at 0.0 Bohr magnetons per cell.

a = 8.642 Å, b = 8.642 Å, c = 8.642 Å
α = 145.16°, β = 145.16°, γ = 50.09°
Element x y z (fractional)
Pm 0.000 0.500 0.500
Pm 0.171 0.171 0.000
Pm 0.500 0.000 0.500
Pm 0.829 0.829 0.000
In 0.372 0.372 0.000
In 0.628 0.628 0.000
B 0.000 0.000 0.000



# 5
The following is a GGA-PBE calculation of a geometry-optimized Pm2InB3Pt12 structure, from Alexandria.

Values from the calculation:
As for the symmetry: R-3m. The volume is 324.4 Å³/cell. The calculated total energy is -6.22 eV per atom. Its energy of formation is -0.401 eV/atom. The magnetization comes out at 0.0 Bohr magnetons per cell.

a = 7.484 Å, b = 7.484 Å, c = 7.484 Å
α = 64.30°, β = 64.30°, γ = 64.30°
Element x y z (fractional)
Pm 0.100 0.100 0.100
Pm 0.900 0.900 0.900
In 0.500 0.500 0.500
B 0.000 0.500 0.500
B 0.500 0.000 0.500
B 0.500 0.500 0.000
Pt 0.100 0.632 0.632
Pt 0.177 0.177 0.589
Pt 0.177 0.589 0.177
Pt 0.368 0.368 0.900
Pt 0.368 0.900 0.368
Pt 0.411 0.823 0.823
Pt 0.589 0.177 0.177
Pt 0.632 0.100 0.632
Pt 0.632 0.632 0.100
Pt 0.823 0.411 0.823
Pt 0.823 0.823 0.411
Pt 0.900 0.368 0.368



# 6
The following is a GGA-PBE calculation of a geometry-optimized Pm3InB2Rh9 structure, from Alexandria.

Values from the calculation:
As for the symmetry: P-3m1. The volume is 264.7 Å³/cell. The calculated total energy is -6.94 eV per atom. Its energy of formation is -0.508 eV/atom. The magnetization comes out at 0.0 Bohr magnetons per cell.

a = 5.931 Å, b = 5.931 Å, c = 8.686 Å
α = 90.00°, β = 90.00°, γ = 120.00°
Element x y z (fractional)
Pm 0.000 0.000 0.000
Pm 0.333 0.667 0.663
Pm 0.667 0.333 0.337
In 0.000 0.000 0.500
B 0.333 0.667 0.142
B 0.667 0.333 0.858
Rh 0.000 0.500 0.000
Rh 0.168 0.336 0.273
Rh 0.168 0.832 0.273
Rh 0.336 0.168 0.727
Rh 0.500 0.000 0.000
Rh 0.500 0.500 0.000
Rh 0.664 0.832 0.273
Rh 0.832 0.168 0.727
Rh 0.832 0.664 0.727



# 7
The following is a GGA-PBE calculation of a geometry-optimized PmInB2Rh5 structure, from Alexandria.

Values from the calculation:
As for the symmetry: P4/mmm. The volume is 138.8 Å³/cell. The calculated total energy is -6.87 eV per atom. Its energy of formation is -0.465 eV/atom. The magnetization comes out at 0.0 Bohr magnetons per cell.

a = 4.206 Å, b = 4.206 Å, c = 7.848 Å
α = 90.00°, β = 90.00°, γ = 90.00°
Element x y z (fractional)
Pm 0.000 0.000 0.000
In 0.000 0.000 0.500
B 0.500 0.500 0.276
B 0.500 0.500 0.724
Rh 0.000 0.500 0.274
Rh 0.000 0.500 0.726
Rh 0.500 0.000 0.274
Rh 0.500 0.000 0.726
Rh 0.500 0.500 0.000



# 8
The following is a GGA-PBE calculation of a geometry-optimized Pm2InB2Rh5 structure, from Alexandria.

Values from the calculation:
As for the symmetry: P4/mbm. The volume is 312.4 Å³/cell. The calculated total energy is -6.93 eV per atom. Its energy of formation is -0.700 eV/atom. The magnetization comes out at 0.0 Bohr magnetons per cell.

a = 9.792 Å, b = 9.792 Å, c = 3.258 Å
α = 90.00°, β = 90.00°, γ = 90.00°
Element x y z (fractional)
Pm 0.177 0.323 0.000
Pm 0.323 0.823 0.000
Pm 0.677 0.177 0.000
Pm 0.823 0.677 0.000
In 0.000 0.000 0.000
In 0.500 0.500 0.000
B 0.120 0.620 0.000
B 0.380 0.120 0.000
B 0.620 0.880 0.000
B 0.880 0.380 0.000
Rh 0.000 0.500 0.500
Rh 0.070 0.771 0.500
Rh 0.229 0.070 0.500
Rh 0.271 0.570 0.500
Rh 0.430 0.271 0.500
Rh 0.500 0.000 0.500
Rh 0.570 0.729 0.500
Rh 0.729 0.430 0.500
Rh 0.771 0.930 0.500
Rh 0.930 0.229 0.500



# 9
The following is a GGA-PBE calculation of a geometry-optimized Pm3In2BRu3 structure, from Alexandria.

Values from the calculation:
As for the symmetry: P-62m. The volume is 186.8 Å³/cell. The calculated total energy is -6.22 eV per atom. Its energy of formation is -0.198 eV/atom. The magnetization comes out at 0.0 Bohr magnetons per cell.

a = 7.777 Å, b = 7.777 Å, c = 3.567 Å
α = 90.00°, β = 90.00°, γ = 120.00°
Element x y z (fractional)
Pm 0.000 0.342 0.000
Pm 0.342 0.000 0.000
Pm 0.658 0.658 0.000
In 0.333 0.667 0.500
In 0.667 0.333 0.500
B 0.000 0.000 0.000
Ru 0.000 0.791 0.500
Ru 0.209 0.209 0.500
Ru 0.791 0.000 0.500



# 10
The following is a GGA-PBE calculation of a geometry-optimized PrInB12 structure, from Alexandria.

Values from the calculation:
As for the symmetry: Fm-3m. The volume is 148.0 Å³/cell. The calculated total energy is -6.41 eV per atom. Its energy of formation is -0.153 eV/atom. The magnetization comes out at 0.0 Bohr magnetons per cell.

a = 5.938 Å, b = 5.938 Å, c = 5.938 Å
α = 60.00°, β = 60.00°, γ = 60.00°
Element x y z (fractional)
Pr 0.000 0.000 0.000
In 0.500 0.500 0.500
B 0.101 0.101 0.399
B 0.101 0.399 0.101
B 0.101 0.399 0.399
B 0.399 0.101 0.101
B 0.399 0.101 0.399
B 0.399 0.399 0.101
B 0.601 0.601 0.899
B 0.601 0.899 0.601
B 0.601 0.899 0.899
B 0.899 0.601 0.601
B 0.899 0.601 0.899
B 0.899 0.899 0.601



# 11
The following is a GGA-PBE calculation of a geometry-optimized Pr3InB2Pt9 structure, from Alexandria.

Values from the calculation:
As for the symmetry: P-3m1. The volume is 283.8 Å³/cell. The calculated total energy is -6.42 eV per atom. Its energy of formation is -0.764 eV/atom. The magnetization comes out at 0.0 Bohr magnetons per cell.

a = 5.860 Å, b = 5.860 Å, c = 9.542 Å
α = 90.00°, β = 90.00°, γ = 120.00°
Element x y z (fractional)
Pr 0.000 0.000 0.000
Pr 0.333 0.667 0.623
Pr 0.667 0.333 0.377
In 0.000 0.000 0.500
B 0.333 0.667 0.144
B 0.667 0.333 0.856
Pt 0.000 0.500 0.000
Pt 0.167 0.334 0.277
Pt 0.167 0.833 0.277
Pt 0.334 0.167 0.723
Pt 0.500 0.000 0.000
Pt 0.500 0.500 0.000
Pt 0.666 0.833 0.277
Pt 0.833 0.167 0.723
Pt 0.833 0.666 0.723



# 12
The following is a GGA-PBE calculation of a geometry-optimized Pr2InBPt6 structure, from Alexandria.

Values from the calculation:
As for the symmetry: Pmmn. The volume is 392.3 Å³/cell. The calculated total energy is -6.33 eV per atom. Its energy of formation is -0.803 eV/atom. The magnetization comes out at 0.0 Bohr magnetons per cell.

a = 5.805 Å, b = 8.815 Å, c = 7.666 Å
α = 90.00°, β = 90.00°, γ = 90.00°
Element x y z (fractional)
Pr 0.250 0.030 0.219
Pr 0.250 0.470 0.219
Pr 0.750 0.530 0.781
Pr 0.750 0.970 0.781
In 0.250 0.750 0.828
In 0.750 0.250 0.172
B 0.250 0.250 0.680
B 0.750 0.750 0.320
Pt 0.010 0.250 0.888
Pt 0.013 0.750 0.511
Pt 0.250 0.008 0.632
Pt 0.250 0.492 0.632
Pt 0.487 0.750 0.511
Pt 0.490 0.250 0.888
Pt 0.510 0.750 0.112
Pt 0.513 0.250 0.489
Pt 0.750 0.508 0.368
Pt 0.750 0.992 0.368
Pt 0.987 0.250 0.489
Pt 0.990 0.750 0.112



# 13
The following is a GGA-PBE calculation of a geometry-optimized Pr3InB2Rh9 structure, from Alexandria.

Values from the calculation:
As for the symmetry: P-3m1. The volume is 267.8 Å³/cell. The calculated total energy is -6.92 eV per atom. Its energy of formation is -0.485 eV/atom. The magnetization comes out at 0.0 Bohr magnetons per cell.

a = 5.997 Å, b = 5.997 Å, c = 8.597 Å
α = 90.00°, β = 90.00°, γ = 120.00°
Element x y z (fractional)
Pr 0.000 0.000 0.000
Pr 0.333 0.667 0.658
Pr 0.667 0.333 0.342
In 0.000 0.000 0.500
B 0.333 0.667 0.141
B 0.667 0.333 0.859
Rh 0.000 0.500 0.000
Rh 0.171 0.342 0.277
Rh 0.171 0.829 0.277
Rh 0.342 0.171 0.723
Rh 0.500 0.000 0.000
Rh 0.500 0.500 0.000
Rh 0.658 0.829 0.277
Rh 0.829 0.171 0.723
Rh 0.829 0.658 0.723



# 14
The following is a GGA-PBE calculation of a geometry-optimized Pr2In2BRh4 structure, from Alexandria.

Values from the calculation:
As for the symmetry: I4/mmm. The volume is 170.7 Å³/cell. The calculated total energy is -6.14 eV per atom. Its energy of formation is -0.456 eV/atom. The magnetization comes out at 0.0 Bohr magnetons per cell.

a = 6.161 Å, b = 6.161 Å, c = 6.161 Å
α = 117.69°, β = 117.69°, γ = 94.05°
Element x y z (fractional)
Pr 0.250 0.750 0.500
Pr 0.750 0.250 0.500
In 0.187 0.187 0.000
In 0.813 0.813 0.000
B 0.500 0.500 0.000
Rh 0.266 0.266 0.532
Rh 0.266 0.734 0.000
Rh 0.734 0.266 0.000
Rh 0.734 0.734 0.468



# 15
The following is a GGA-PBE calculation of a geometry-optimized Pr2InB2Rh5 structure, from Alexandria.

Values from the calculation:
As for the symmetry: P4/mbm. The volume is 319.2 Å³/cell. The calculated total energy is -6.88 eV per atom. Its energy of formation is -0.641 eV/atom. The magnetization comes out at 0.0 Bohr magnetons per cell.

a = 9.870 Å, b = 9.870 Å, c = 3.276 Å
α = 90.00°, β = 90.00°, γ = 90.00°
Element x y z (fractional)
Pr 0.178 0.322 0.000
Pr 0.322 0.822 0.000
Pr 0.678 0.178 0.000
Pr 0.822 0.678 0.000
In 0.000 0.000 0.000
In 0.500 0.500 0.000
B 0.119 0.619 0.000
B 0.381 0.119 0.000
B 0.619 0.881 0.000
B 0.881 0.381 0.000
Rh 0.000 0.500 0.500
Rh 0.070 0.769 0.500
Rh 0.231 0.070 0.500
Rh 0.269 0.570 0.500
Rh 0.430 0.269 0.500
Rh 0.500 0.000 0.500
Rh 0.570 0.731 0.500
Rh 0.731 0.430 0.500
Rh 0.769 0.930 0.500
Rh 0.930 0.231 0.500



# 16
The following is a GGA-PBE calculation of a geometry-optimized InB2Pt4 structure, from Alexandria.

Values from the calculation:
As for the symmetry: I4/mmm. The volume is 131.6 Å³/cell. The calculated total energy is -4.93 eV per atom. Its energy of formation is 0.823 eV/atom. The magnetization comes out at 0.0 Bohr magnetons per cell.

a = 6.551 Å, b = 6.551 Å, c = 6.551 Å
α = 136.49°, β = 136.49°, γ = 63.23°
Element x y z (fractional)
In 0.000 0.000 0.000
B 0.427 0.427 0.000
B 0.573 0.573 0.000
Pt 0.000 0.500 0.500
Pt 0.254 0.254 0.000
Pt 0.500 0.000 0.500
Pt 0.746 0.746 0.000



# 17
The following is a GGA-PBE calculation of a geometry-optimized InBPt structure, from Alexandria.

Values from the calculation:
As for the symmetry: Immm. The volume is 101.3 Å³/cell. The calculated total energy is -5.15 eV per atom. Its energy of formation is 0.004 eV/atom. The magnetization comes out at 0.0 Bohr magnetons per cell.

a = 6.891 Å, b = 6.891 Å, c = 6.891 Å
α = 146.67°, β = 145.55°, γ = 48.69°
Element x y z (fractional)
In 0.139 0.139 0.000
In 0.861 0.861 0.000
B 0.205 0.500 0.705
B 0.795 0.500 0.295
Pt 0.362 0.362 0.000
Pt 0.638 0.638 0.000



# 18
The following is a GGA-PBE calculation of a geometry-optimized InB3Pt6 structure, from Alexandria.

Values from the calculation:
As for the symmetry: Cmc2_1. The volume is 287.2 Å³/cell. The calculated total energy is -6.12 eV per atom. Its energy of formation is -0.218 eV/atom. The magnetization comes out at 0.0 Bohr magnetons per cell.

a = 7.256 Å, b = 7.256 Å, c = 5.561 Å
α = 90.00°, β = 90.00°, γ = 101.19°
Element x y z (fractional)
In 0.211 0.789 0.500
In 0.789 0.211 0.000
B 0.084 0.316 0.578
B 0.316 0.084 0.078
B 0.442 0.558 0.149
B 0.558 0.442 0.649
B 0.684 0.916 0.578
B 0.916 0.684 0.078
Pt 0.026 0.974 0.153
Pt 0.038 0.462 0.254
Pt 0.269 0.731 0.003
Pt 0.305 0.348 0.870
Pt 0.348 0.305 0.370
Pt 0.462 0.038 0.754
Pt 0.538 0.962 0.254
Pt 0.652 0.695 0.870
Pt 0.695 0.652 0.370
Pt 0.731 0.269 0.503
Pt 0.962 0.538 0.754
Pt 0.974 0.026 0.653



# 19
The following is a GGA-PBE calculation of a geometry-optimized InBPt2 structure, from Alexandria.

Values from the calculation:
As for the symmetry: R-3m. The volume is 62.7 Å³/cell. The calculated total energy is -5.59 eV per atom. Its energy of formation is -0.219 eV/atom. The magnetization comes out at 0.0 Bohr magnetons per cell.

a = 6.698 Å, b = 6.698 Å, c = 6.698 Å
α = 29.06°, β = 29.06°, γ = 29.06°
Element x y z (fractional)
In 0.000 0.000 0.000
B 0.500 0.500 0.500
Pt 0.222 0.222 0.222
Pt 0.778 0.778 0.778



# 20
The following is a GGA-PBE calculation of a geometry-optimized InBPt2 structure, from Alexandria.

Values from the calculation:
As for the symmetry: Fm-3m. The volume is 61.1 Å³/cell. The calculated total energy is -4.91 eV per atom. Its energy of formation is 0.464 eV/atom. The magnetization comes out at 0.0 Bohr magnetons per cell.

a = 4.420 Å, b = 4.420 Å, c = 4.420 Å
α = 60.00°, β = 60.00°, γ = 60.00°
Element x y z (fractional)
In 0.000 0.000 0.000
B 0.500 0.500 0.500
Pt 0.250 0.250 0.250
Pt 0.750 0.750 0.750